Entry 1:
Tl2SiAs2 PBE-GGA relaxed; size of the total moment = 0.00 μB/f.u.; raw formation energy = 0.1956 eV/atom; polymorph energy (0 for the lowest one) = 19.4 kJ per mole of atoms
1.0
-1.570 6.288 -1.609
-5.355 -2.190 -3.334
-3.157 0.436 4.785
Tl Si As
4 2 4
Direct
0.191 0.691 0.500
0.691 0.809 0.500
0.809 0.309 0.500
0.309 0.191 0.500
0.000 0.000 0.000
0.500 0.500 0.000
0.368 0.868 0.000
0.868 0.632 0.000
0.632 0.132 0.000
0.132 0.368 0.000


Entry 2:
ReGeI2O PBE-GGA relaxed; size of the total moment = 0.00 μB/f.u.; raw formation energy = 0.1035 eV/atom; polymorph energy (0 for the lowest one) = 0.0 kJ per mole of atoms
1.0
5.601 0.000 0.000
0.000 5.601 0.000
0.000 0.000 3.776
I Re Ge O
2 1 1 1
Direct
0.000 0.500 0.000
0.500 0.000 0.000
0.000 0.000 0.000
0.500 0.500 0.500
0.000 0.000 0.500


Entry 3:
La2PtPbO5 PBE-GGA relaxed; size of the total moment = 0.00 μB/f.u.; raw formation energy = -2.1846 eV/atom
1.0
-0.562 2.486 -5.328
5.510 -3.556 -2.241
-4.151 -5.183 -1.981
La Pt Pb O
4 2 2 10
Direct
0.500 0.676 0.176
0.500 0.176 0.324
0.500 0.824 0.676
0.500 0.324 0.824
0.000 0.000 0.500
0.000 0.500 0.000
0.000 0.500 0.500
0.000 0.000 0.000
0.500 0.500 0.500
0.500 0.000 0.000
0.248 0.142 0.642
0.248 0.858 0.358
0.248 0.358 0.142
0.248 0.642 0.858
0.752 0.142 0.642
0.752 0.642 0.858
0.752 0.858 0.358
0.752 0.358 0.142